No. 1
# CaTa2Cd (SCAN, PBEsol geometry)
# theoretical density = 10.540 g/cm3
# D(E_F) = 1.01 states/eV per atom
# ΔE_f = 0.5147 eV per atom
data_CaTa2Cd
_chemical_formula_sum 'Ca1 Ta2 Cd1'
_symmetry_space_group_name_H-M 'P m m m'
_symmetry_Int_Tables_number 47
_symmetry_space_group_name_Hall '-P 2 2'
_cell_length_a 3.2086
_cell_length_b 4.7599
_cell_length_c 5.3061
_cell_angle_alpha 90.00
_cell_angle_beta 90.00
_cell_angle_gamma 90.00
loop_
_atom_site_label
_atom_site_type_symbol
_atom_site_fract_x
_atom_site_fract_y
_atom_site_fract_z
Ca1 Ca 0.0000 0.0000 0.0000
Ta1 Ta 0.0000 0.5000 0.5000
Ta2 Ta 0.5000 0.0000 0.5000
Cd1 Cd 0.5000 0.5000 0.0000

No. 2
# ReIrAu2 (SCAN, PBEsol geometry)
# theoretical density = 20.384 g/cm3
# D(E_F) = 0.92 states/eV per atom
# ΔE_f = 0.5593 eV per atom
data_ReIrAu2
_chemical_formula_sum 'Re2 Ir2 Au4'
_symmetry_space_group_name_H-M 'C m m m'
_symmetry_Int_Tables_number 65
_symmetry_space_group_name_Hall '-C 2 2'
_cell_length_a 2.7488
_cell_length_b 4.7250
_cell_length_c 9.6890
_cell_angle_alpha 90.00
_cell_angle_beta 90.00
_cell_angle_gamma 90.00
loop_
_atom_site_label
_atom_site_type_symbol
_atom_site_fract_x
_atom_site_fract_y
_atom_site_fract_z
Re1 Re 0.0000 0.0000 0.0000
Ir1 Ir 0.0000 0.0000 0.5000
Au1 Au 0.0000 0.5000 0.2514

No. 3
# LiSn2I (SCAN, PBEsol geometry)
# E_form (uncorrected) = -0.25 eV per atom
# theoretical density = 5.341 g/cm3
# D(E_F) = 0.68 states/eV per atom
data_LiSn2I
_chemical_formula_sum 'Li4 Sn8 I4'
_symmetry_space_group_name_H-M 'I -4 2 d'
_symmetry_Int_Tables_number 122
_symmetry_space_group_name_Hall 'I -4 2bw'
_cell_length_a 4.1613
_cell_length_b 4.1613
_cell_length_c 26.6610
_cell_angle_alpha 90.00
_cell_angle_beta 90.00
_cell_angle_gamma 90.00
loop_
_atom_site_label
_atom_site_type_symbol
_atom_site_fract_x
_atom_site_fract_y
_atom_site_fract_z
Li1 Li 0.0000 0.0000 0.0000
Sn1 Sn 0.2435 0.2500 0.1250
I1 I 0.0000 0.0000 0.5000

No. 4
# CaHgRh2 (SCAN, PBEsol geometry)
# theoretical density = 10.426 g/cm3
# D(E_F) = 0.49 states/eV per atom
# ΔE_f = 0.0081 eV per atom
data_CaHgRh2
_chemical_formula_sum 'Ca1 Hg1 Rh2'
_symmetry_space_group_name_H-M 'P 1 2/m 1'
_symmetry_Int_Tables_number 10
_symmetry_space_group_name_Hall '-P 2y'
_cell_length_a 2.9111
_cell_length_b 4.6222
_cell_length_c 5.3352
_cell_angle_alpha 90.00
_cell_angle_beta 97.89
_cell_angle_gamma 90.00
loop_
_atom_site_label
_atom_site_type_symbol
_atom_site_fract_x
_atom_site_fract_y
_atom_site_fract_z
Ca1 Ca 0.0000 0.0000 0.0000
Hg1 Hg 0.5000 0.0000 0.5000
Rh1 Rh 0.3084 0.5000 0.7217

No. 5
# GaAg3 (SCAN, PBEsol geometry)
# theoretical density = 10.044 g/cm3
# D(E_F) = 0.33 states/eV per atom
# ΔE_f = 0.0161 eV per atom
data_GaAg3
_chemical_formula_sum 'Ga2 Ag6'
_symmetry_space_group_name_H-M 'P 63/m m c'
_symmetry_Int_Tables_number 194
_symmetry_space_group_name_Hall '-P 6c 2c'
_cell_length_a 5.7054
_cell_length_b 5.7054
_cell_length_c 4.6134
_cell_angle_alpha 90.00
_cell_angle_beta 90.00
_cell_angle_gamma 120.00
loop_
_atom_site_label
_atom_site_type_symbol
_atom_site_fract_x
_atom_site_fract_y
_atom_site_fract_z
Ga1 Ga 0.3333 0.6667 0.2500
Ag1 Ag 0.1679 0.3359 0.7500

No. 6
# LiIr3Se (SCAN, PBEsol geometry)
# E_form (uncorrected) = 1.28 eV per atom
# theoretical density = 15.465 g/cm3
# D(E_F) = 0.75 states/eV per atom
data_LiIr3Se
_chemical_formula_sum 'Li1 Ir3 Se1'
_symmetry_space_group_name_H-M 'P m -3 m'
_symmetry_Int_Tables_number 221
_symmetry_space_group_name_Hall '-P 4 2 3'
_cell_length_a 4.1436
_cell_length_b 4.1436
_cell_length_c 4.1436
_cell_angle_alpha 90.00
_cell_angle_beta 90.00
_cell_angle_gamma 90.00
loop_
_atom_site_label
_atom_site_type_symbol
_atom_site_fract_x
_atom_site_fract_y
_atom_site_fract_z
Li1 Li 0.0000 0.0000 0.0000
Ir1 Ir 0.0000 0.0000 0.5000
Se1 Se 0.5000 0.5000 0.5000

No. 7
# CsRbMn2Cl6 (SCAN, PBEsol geometry)
# E_form (uncorrected) = -1.89 eV per atom
# theoretical density = 3.446 g/cm3
# D(E_F) = 0.00 states/eV per atom
data_CsRbMn2Cl6
_chemical_formula_sum 'Cs8 Rb8 Mn16 Cl48'
_symmetry_space_group_name_H-M 'P 63/m m c'
_symmetry_Int_Tables_number 194
_symmetry_space_group_name_Hall '-P 6c 2c'
_cell_length_a 14.2658
_cell_length_b 14.2658
_cell_length_c 11.8339
_cell_angle_alpha 90.00
_cell_angle_beta 90.00
_cell_angle_gamma 120.00
loop_
_atom_site_label
_atom_site_type_symbol
_atom_site_fract_x
_atom_site_fract_y
_atom_site_fract_z
Cs1 Cs 0.0000 0.5000 0.0000
Cs2 Cs 0.3333 0.6667 0.2500
Rb1 Rb 0.0000 0.0000 0.0000
Rb2 Rb 0.1661 0.3321 0.7500
Mn1 Mn 0.1657 0.3314 0.1182
Mn2 Mn 0.3333 0.6667 0.6179
Cl1 Cl 0.0000 0.2470 0.0000
Cl2 Cl 0.0852 0.4098 0.2500
Cl3 Cl 0.0861 0.1722 0.2500
Cl4 Cl 0.1746 0.5873 0.7500
Cl5 Cl 0.2491 0.4983 0.5014

No. 8
# MoIrS2Cl (SCAN, PBEsol geometry)
# E_form (uncorrected) = 0.96 eV per atom
# theoretical density = 6.739 g/cm3
# D(E_F) = 1.11 states/eV per atom
data_MoIrS2Cl
_chemical_formula_sum 'Mo1 Ir1 S2 Cl1'
_symmetry_space_group_name_H-M 'P 4/m m m'
_symmetry_Int_Tables_number 123
_symmetry_space_group_name_Hall '-P 4 2'
_cell_length_a 4.5834
_cell_length_b 4.5834
_cell_length_c 4.5477
_cell_angle_alpha 90.00
_cell_angle_beta 90.00
_cell_angle_gamma 90.00
loop_
_atom_site_label
_atom_site_type_symbol
_atom_site_fract_x
_atom_site_fract_y
_atom_site_fract_z
Mo1 Mo 0.0000 0.0000 0.0000
Ir1 Ir 0.5000 0.5000 0.5000
S1 S 0.0000 0.5000 0.0000
Cl1 Cl 0.0000 0.0000 0.5000

No. 9
# TlAsPb2 (SCAN, PBEsol geometry)
# theoretical density = 10.732 g/cm3
# D(E_F) = 0.50 states/eV per atom
# ΔE_f = 0.0788 eV per atom
data_TlAsPb2
_chemical_formula_sum 'Tl1 As1 Pb2'
_symmetry_space_group_name_H-M 'P 4/m m m'
_symmetry_Int_Tables_number 123
_symmetry_space_group_name_Hall '-P 4 2'
_cell_length_a 3.7962
_cell_length_b 3.7962
_cell_length_c 7.4481
_cell_angle_alpha 90.00
_cell_angle_beta 90.00
_cell_angle_gamma 90.00
loop_
_atom_site_label
_atom_site_type_symbol
_atom_site_fract_x
_atom_site_fract_y
_atom_site_fract_z
Tl1 Tl 0.0000 0.0000 0.0000
As1 As 0.0000 0.0000 0.5000
Pb1 Pb 0.5000 0.5000 0.2873

No. 10
# CeP3H8O7 (SCAN, PBEsol geometry)
# calculated total energy = -176.100 eV/f.u.
# theoretical density = 2.745 g/cm3
data_CeP3H8O7
_chemical_formula_sum 'Ce2 P6 H16 O14'
_symmetry_space_group_name_H-M 'P -1'
_symmetry_Int_Tables_number 2
_symmetry_space_group_name_Hall '-P 1'
_cell_length_a 7.0691
_cell_length_b 7.9098
_cell_length_c 8.6326
_cell_angle_alpha 109.33
_cell_angle_beta 96.34
_cell_angle_gamma 105.89
loop_
_atom_site_label
_atom_site_type_symbol
_atom_site_fract_x
_atom_site_fract_y
_atom_site_fract_z
Ce1 Ce 0.1513 0.3136 0.3710
P1 P 0.0319 0.1823 0.9054
P2 P 0.3451 0.6833 0.7727
P3 P 0.4764 0.7088 0.2908
H1 H 0.0544 0.3469 0.8656
H2 H 0.1827 0.9973 0.5497
H3 H 0.1952 0.7849 0.4667
H4 H 0.2261 0.1595 0.9093
H5 H 0.3360 0.6413 0.9205
H6 H 0.3628 0.8782 0.8257
H7 H 0.4632 0.8690 0.2547
H8 H 0.4725 0.5746 0.1310
O1 O 0.0077 0.7741 0.9180
O2 O 0.1231 0.9855 0.2368
O3 O 0.1370 0.8667 0.5509
O4 O 0.1470 0.5625 0.6430
O5 O 0.2858 0.6324 0.3478
O6 O 0.3192 0.2320 0.5920
O7 O 0.4676 0.3460 0.2865

No. 11
# Rb3TlTc (SCAN, PBEsol geometry)
# theoretical density = 3.661 g/cm3
# D(E_F) = 1.31 states/eV per atom
# ΔE_f = 1.1422 eV per atom
data_Rb3TlTc
_chemical_formula_sum 'Rb3 Tl1 Tc1'
_symmetry_space_group_name_H-M 'P m -3 m'
_symmetry_Int_Tables_number 221
_symmetry_space_group_name_Hall '-P 4 2 3'
_cell_length_a 6.3283
_cell_length_b 6.3283
_cell_length_c 6.3283
_cell_angle_alpha 90.00
_cell_angle_beta 90.00
_cell_angle_gamma 90.00
loop_
_atom_site_label
_atom_site_type_symbol
_atom_site_fract_x
_atom_site_fract_y
_atom_site_fract_z
Rb1 Rb 0.0000 0.0000 0.5000
Tl1 Tl 0.5000 0.5000 0.5000
Tc1 Tc 0.0000 0.0000 0.0000

No. 12
# MnCu (SCAN, PBEsol geometry)
# theoretical density = 6.771 g/cm3
# D(E_F) = 0.43 states/eV per atom
# ΔE_f = 0.3663 eV per atom
data_MnCu
_chemical_formula_sum 'Mn4 Cu4'
_symmetry_space_group_name_H-M 'F m -3 m'
_symmetry_Int_Tables_number 225
_symmetry_space_group_name_Hall '-F 4 2 3'
_cell_length_a 4.8803
_cell_length_b 4.8803
_cell_length_c 4.8803
_cell_angle_alpha 90.00
_cell_angle_beta 90.00
_cell_angle_gamma 90.00
loop_
_atom_site_label
_atom_site_type_symbol
_atom_site_fract_x
_atom_site_fract_y
_atom_site_fract_z
Mn1 Mn 0.0000 0.0000 0.0000
Cu1 Cu 0.0000 0.0000 0.5000